A relaxed structure of Cr2OsSe. Source: Alexandria via LeMat-Bulk, functional PBE.

space group = No. 10
E = -8.10 eV/atom
spin magnetization = 0.0 Bohr magnetons per cell
formation energy (no corrections) = 0.386 eV/atom

Unit cell a=3.814 b=2.829 c=5.495 alpha=67.23 beta=90.00 gamma=90.00
Fractional coordinates of all 4 atoms:
Cr: 0.000 0.951 0.015
Cr: 0.000 0.549 0.485
Os: 0.500 0.250 0.250
Se: 0.500 0.750 0.750